VIrPt | PBE | optimized geometry

Summary:
For the distance to the lowest polymorph of the same formula, the calculation gives 41 kJ/mol of formula units. As for the calculated formation energy: -0.29 eV/atom. The theoretical density is 16.6 g cm⁻³. As for the calculated total energy: -8.30 eV per atom.

```
data_VIrPt
_cell_length_a 4.3328
_cell_length_b 4.3328
_cell_length_c 2.6981
_cell_angle_alpha 90.00
_cell_angle_beta 90.00
_cell_angle_gamma 120.00
_symmetry_space_group_name_H-M 'P -6 m 2'
_symmetry_Int_Tables_number 187
_symmetry_space_group_name_Hall 'P -6 2'
loop_
_atom_site_label
_atom_site_type_symbol
_atom_site_fract_x
_atom_site_fract_y
_atom_site_fract_z
_atom_site_occupancy
V1 V 0.0000 0.0000 0.0000 1
Ir1 Ir 0.3333 0.6667 0.5000 1
Pt1 Pt 0.6667 0.3333 0.0000 1
```